Entry 1:
Material: K2LaAg
Method: DFT, PBE-GGA
State: optimized geometry

Geometry as POSCAR:
```
K2LaAg
1.0
0.0000 4.1915 4.1915
4.1915 0.0000 4.1915
4.1915 4.1915 0.0000
K La Ag
2 1 1
Direct
0.0000 0.0000 0.0000 K
0.2500 0.2500 0.2500 K
0.5000 0.5000 0.5000 La
0.7500 0.7500 0.7500 Ag
```

Summary:
As for the total energy: -8.27 eV per cell. The calculation puts the energy above the lowest structure with this stoichiometry at 1.43 eV/f.u. The calculated formation energy is 41 kJ per mole of atoms.


Entry 2:
Material: K2LaAg
Method: DFT, PBE-GGA
State: optimized geometry

Geometry as POSCAR:
```
K2LaAg
1.0
0.0000 4.2465 4.2465
4.2465 0.0000 4.2465
4.2465 4.2465 0.0000
K La Ag
2 1 1
Direct
0.2500 0.2500 0.2500 K
0.7500 0.7500 0.7500 K
0.0000 0.0000 0.0000 La
0.5000 0.5000 0.5000 Ag
```

Summary:
As for the total energy: -7.47 eV per cell. The calculation puts the energy above the lowest structure with this stoichiometry at 2.24 eV/f.u. The calculated formation energy is 60 kJ per mole of atoms.


Entry 3:
Material: K2LaAg2
Method: DFT, PBE-GGA
State: optimized geometry

Geometry as POSCAR:
```
K2LaAg2
1.0
8.0396 0.0000 0.0000
0.0000 8.0396 0.0000
0.0000 0.0000 5.5114
K La Ag
4 2 4
Direct
0.1651 0.3349 0.0000 K
0.3349 0.8349 0.0000 K
0.6651 0.1651 0.0000 K
0.8349 0.6651 0.0000 K
0.0000 0.0000 0.5000 La
0.5000 0.5000 0.5000 La
0.1241 0.6241 0.5000 Ag
0.3759 0.1241 0.5000 Ag
0.6241 0.8759 0.5000 Ag
0.8759 0.3759 0.5000 Ag
```

Summary:
As for the total energy: -24.03 eV per cell. The calculated formation energy is 16 kJ per mole of atoms.


Entry 4:
Material: KLaAgPb
Method: DFT, PBE-GGA
State: optimized geometry

Geometry as POSCAR:
```
KLaAgPb
1.0
0.0000 3.9730 3.9730
3.9730 0.0000 3.9730
3.9730 3.9730 0.0000
K La Ag Pb
1 1 1 1
Direct
0.0000 0.0000 0.0000 K
0.5000 0.5000 0.5000 La
0.7500 0.7500 0.7500 Ag
0.2500 0.2500 0.2500 Pb
```

Summary:
As for the total energy: -13.19 eV per cell. The calculated formation energy is -15 kJ per mole of atoms.


Look up the calculated formation energy of the fourth one. -15 kJ per mole of atoms